No. 1
Here is K6In2Os after structural relaxation from OQMD via LeMat-Bulk. Energies are from GGA-PBE.

Cell lengths 5.795, 5.812, 15.912 Å; angles 90.00, 90.00, 90.00 degrees
Element x y z (fractional)
Os  0.000  0.000  0.000
K  0.500  0.000  0.850
K  0.500  0.500  0.500
K  0.500  0.500  0.000
K  0.000  0.500  0.148
K  0.500  0.000  0.150
K  0.000  0.500  0.852
In  0.500  0.500  0.719
In  0.500  0.500  0.281

Output
* total moment: 2.7 μB per cell
* raw total energy: -0.1292 Ry per atom
* calculated volume: 535.90 Å³/cell



No. 2
Here is Y2Ho2CIBr2Cl2 after structural relaxation from OQMD via LeMat-Bulk. Energies are from GGA-PBE.

Cell lengths 9.020, 9.020, 8.470 Å; angles 102.96, 102.96, 24.56 degrees
Element x y z (fractional)
C  0.500  0.500  0.000
Y  0.000  0.000  0.808
Y  0.000  0.000  0.192
I  0.500  0.500  0.500
Br  0.828  0.828  0.157
Br  0.172  0.172  0.843
Cl  0.840  0.840  0.695
Cl  0.160  0.160  0.305
Ho  0.362  0.362  0.927
Ho  0.638  0.638  0.073

Output
* total moment: 0.1 μB per cell
* raw total energy: -0.4013 Ry per atom
* calculated volume: 278.77 Å³/cell



No. 3
Here is Er5Te3Pd after structural relaxation from OQMD via LeMat-Bulk. Energies are from GGA-PBE.

Cell lengths 8.628, 8.628, 3.826 Å; angles 90.00, 90.00, 120.00 degrees
Element x y z (fractional)
Er  0.667  0.333  0.500
Er  0.000  0.236  0.500
Er  0.764  0.764  0.500
Er  0.333  0.667  0.500
Er  0.236  0.000  0.500
Te  0.559  0.000  0.000
Te  0.441  0.441  0.000
Te  0.000  0.559  0.000
Pd  0.000  0.000  0.000

Output
* total moment: 0.1 μB per cell
* raw total energy: -0.3550 Ry per atom
* calculated volume: 246.66 Å³/cell



No. 4
Here is LiInAsIr after structural relaxation from OQMD via LeMat-Bulk. Energies are from GGA-PBE.

Cell lengths 4.539, 4.539, 4.539 Å; angles 60.00, 60.00, 60.00 degrees
Element x y z (fractional)
Ir  0.500  0.500  0.500
Li  0.750  0.750  0.750
As  0.250  0.250  0.250
In  0.000  0.000  0.000

Output
* total moment: 0.0 μB per cell
* raw total energy: -0.3277 Ry per atom
* calculated volume: 66.13 Å³/cell



No. 5
Here is NbO4 after structural relaxation from OQMD via LeMat-Bulk. Energies are from GGA-PBE.

Cell lengths 4.890, 4.890, 4.769 Å; angles 116.95, 116.95, 36.04 degrees
Element x y z (fractional)
O  0.083  0.083  0.352
O  0.917  0.917  0.648
O  0.281  0.281  0.051
O  0.720  0.720  0.949
Nb  0.500  0.500  0.500

Output
* total moment: 0.0 μB per cell
* raw total energy: -0.5227 Ry per atom
* calculated volume: 58.98 Å³/cell



No. 6
Here is AlTc2 after structural relaxation from OQMD via LeMat-Bulk. Energies are from GGA-PBE.

Cell lengths 5.112, 5.112, 5.112 Å; angles 60.00, 60.00, 60.00 degrees
Element x y z (fractional)
Tc  0.125  0.625  0.625
Tc  0.625  0.625  0.625
Tc  0.625  0.125  0.625
Tc  0.625  0.625  0.125
Al  0.250  0.250  0.250
Al  0.000  0.000  0.000

Output
* total moment: 0.0 μB per cell
* raw total energy: -0.5887 Ry per atom
* calculated volume: 94.46 Å³/cell



No. 7
Here is TaSbNO after structural relaxation from OQMD via LeMat-Bulk. Energies are from GGA-PBE.

Cell lengths 3.207, 6.821, 6.836 Å; angles 90.00, 90.00, 90.00 degrees
Element x y z (fractional)
Ta  0.000  0.596  0.492
Ta  0.000  0.404  0.992
O  0.500  0.260  0.058
O  0.500  0.740  0.558
N  0.000  0.619  0.203
N  0.000  0.381  0.703
Sb  0.500  0.771  0.993
Sb  0.500  0.229  0.493

Output
* total moment: 0.0 μB per cell
* raw total energy: -0.6034 Ry per atom
* calculated volume: 149.52 Å³/cell



No. 8
Here is KNaAsAu after structural relaxation from OQMD via LeMat-Bulk. Energies are from GGA-PBE.

Cell lengths 5.238, 5.238, 5.238 Å; angles 60.00, 60.00, 60.00 degrees
Element x y z (fractional)
Au  0.750  0.750  0.750
As  0.250  0.250  0.250
K  0.000  0.000  0.000
Na  0.500  0.500  0.500

Output
* raw total energy: -0.1904 Ry per atom
* calculated volume: 101.65 Å³/cell



Question: Which of these has the lowest raw total energy?
Answer: TaSbNO



Question: Which of these has the highest raw total energy?
Answer: K6In2Os